GGA-PBE Tm3Se, optimized geometry; space group = Imm2 (44); ΔE to the lowest computed polymorph = 101.9 meV/atom; formation energy from raw total energies = -259 kJ/mol of formula units; DOS at the Fermi energy = 3.7 states/eV/cell; magnetization = 0.642 μB per formula unit; energy = -19.6 eV per cell
1.0
3.6279 0.0000 0.0000
0.0000 6.2786 0.0000
-1.8139 -3.1393 4.7592
Tm Se
3 1
direct
0.3042 0.6468 0.6084
0.5000 0.4119 0.0000
0.6958 0.0384 0.3916
0.0000 0.0696 0.0000

---

GGA-PBE Sm2Ga3Cu4Sn, optimized geometry; space group = P-4m2 (115); DOS at the Fermi energy = 6.3 states/eV/cell; magnetization = 0.000 μB per formula unit; energy = -43.1 eV per cell
1.0
4.2474 0.0000 0.0000
0.0000 4.2474 0.0000
0.0000 0.0000 10.2718
Sm Cu Ga Sn
2 4 3 1
direct
0.0000 0.5000 0.7654
0.5000 0.0000 0.2346
0.5000 0.0000 0.6447
0.0000 0.5000 0.3553
0.0000 0.0000 0.0000
0.5000 0.5000 0.0000
0.0000 0.5000 0.1229
0.0000 0.0000 0.5000
0.5000 0.0000 0.8771
0.5000 0.5000 0.5000

---

GGA-PBE DyYTePb, optimized geometry; space group = P4/mmm (123); formation energy from raw total energies = -369 kJ/mol of formula units; DOS at the Fermi energy = 1.2 states/eV/cell; magnetization = 0.000 μB per formula unit; energy = -21.7 eV per cell
1.0
4.4100 0.0000 0.0000
0.0000 4.4039 0.2755
0.0000 -0.3882 6.2160
Te Pb Dy Y
1 1 1 1
direct
0.0000 0.8916 0.5923
0.5000 0.3915 0.0926
0.5000 0.3915 0.5926
0.0000 0.8915 0.0923